Entry one
Crystalline AlSnI2 at its relaxed geometry. Source: Alexandria via LeMat-Bulk, functional PBE-GGA.

Cell and atoms, written as extended XYZ:
```
4
Lattice="2.6719 -4.8147 -1.1005 -1.7900 -4.7956 2.3086 -2.4584 -3.9084 -3.1957" Properties=species:S:1:pos:R:3 pbc="T T T"
I -0.3941 -3.3797 -0.4969
I -1.1823 -10.1390 -1.4906
Sn -0.7882 -6.7593 -0.9937
Al 0.0000 0.0000 0.0000
```

The space-group type is Fm-3m (225). Its mass density is 5.30 g/cm3. The calculation puts the density of states at the Fermi level at 0.4301 states/eV per atom.

Entry two
Crystalline AlSnI2 at its relaxed geometry. Source: Alexandria via LeMat-Bulk, functional PBE-GGA.

Cell and atoms, written as extended XYZ:
```
8
Lattice="-3.0682 2.9623 -3.7163 -3.0032 -4.6369 -1.2167 -9.4778 1.4592 4.6827" Properties=species:S:1:pos:R:3 pbc="T T T"
I -12.4148 -0.3616 -0.8020
I -4.6563 1.6307 -1.2967
I -9.3911 0.4571 1.6597
I -4.6361 -2.1570 -0.0618
Al -7.7584 -2.0075 0.4997
Al -3.0357 -0.8373 -2.4665
Sn 0.0000 0.0000 0.0000
Sn -7.7909 1.7921 -0.7501
```

The space-group type is I-42d (122). Its mass density is 4.19 g/cm3. The calculation puts the density of states at the Fermi level at 0.6631 states/eV per atom.

Which structure is the least stable? The one labeled entry two.

Entry one
Crystalline Al2SnI at its relaxed geometry. Source: Alexandria via LeMat-Bulk, functional PBE-GGA.

Cell and atoms, written as extended XYZ:
```
4
Lattice="3.1752 -2.5603 3.2691 -1.8913 -2.0181 4.4356 -0.4304 -5.1816 0.5391" Properties=species:S:1:pos:R:3 pbc="T T T"
Al 0.6401 -7.3200 6.1828
Al 0.2134 -2.4400 2.0609
I 0.4267 -4.8800 4.1219
Sn 0.0000 0.0000 0.0000
```

The space-group type is Fm-3m (225). Its mass density is 4.93 g/cm3. The calculation puts the density of states at the Fermi level at 0.6802 states/eV per atom.

Entry two
Crystalline Al2SnI at its relaxed geometry. Source: Alexandria via LeMat-Bulk, functional PBE-GGA.

Cell and atoms, written as extended XYZ:
```
8
Lattice="-1.7530 -0.4883 -6.2981 -2.5134 -5.9425 1.1604 -8.0068 -0.4538 -1.1481" Properties=species:S:1:pos:R:3 pbc="T T T"
Al -9.6278 -5.7063 -5.4076
Al -7.7154 -3.0129 -2.7368
Al -3.3345 -1.1400 -3.8017
Al -3.8687 -3.9100 -0.6257
Sn -6.3267 -4.8059 -1.2783
Sn -2.1332 -3.2154 -2.5689
I -5.9465 -2.0788 -5.0075
I 0.0000 0.0000 0.0000
```

The space-group type is I-42d (122). Its mass density is 3.48 g/cm3. The calculation puts the density of states at the Fermi level at 1.0377 states/eV per atom.

Which structure is the least stable? The one labeled entry one.